Crystalline La4SmPd2 at its relaxed geometry, computed with PBE.

Cell: 8.192 6.731 8.224 Å, 90.00 110.90 90.00°
Space group P2_1/m (No. 11)
Symmetry-distinct sites (fractional):
La: 0.051 0.250 0.075 x2
La: 0.299 0.501 0.798 x4
La: 0.425 0.250 0.452 x2
Sm: 0.139 0.750 0.360 x2
Pd: 0.068 0.250 0.430 x2
Pd: 0.356 0.750 0.141 x2

For the total energy, the calculation gives -5.30 eV/atom. As for the crystal system: monoclinic. As for the calculated formation energy: -322 meV per atom.